Record 1
# YAlGa2

A geometry-optimized YAlGa2 structure (PBE, the Alexandria database).

abc: 13.898 4.180 11.002
angles: 90.00 90.00 90.00
Space group Pnma (No. 62)
Inequivalent atoms, fractional coordinates:
Y: 0.047 0.250 0.248
Y: 0.200 0.750 0.957
Al: 0.058 0.250 0.549
Al: 0.205 0.750 0.662
Ga: 0.042 0.250 0.976
Ga: 0.114 0.250 0.772
Ga: 0.133 0.750 0.444
Ga: 0.201 0.750 0.235

Results
ΔH_f (0 K)   -500 meV/atom
Size of the total moment   0.000 μB/f.u.
Raw total energy   -4.565 eV per atom

***

Record 2
# Pr8Ir3CCl4

A geometry-optimized Pr8Ir3CCl4 structure (PBE, the Alexandria database).

abc: 8.2067 8.2067 22.5276
angles: 90.00 90.00 120.00
Space group R-3m (No. 166, hexagonal axes)
Inequivalent atoms, fractional coordinates:
Pr: 0.0000 0.0000 0.2368
Pr: 0.0164 0.5082 0.2318
Ir: 0.0000 0.5000 0.5000
C: 0.0000 0.0000 0.5000
Cl: 0.0000 0.0000 0.0000
Cl: 0.0000 0.5000 0.0000

Results
Size of the total moment   0.000 μB/f.u.
Raw total energy   -6.162 eV per atom

***

Record 3
# DyErIr

A geometry-optimized DyErIr structure (PBE, the Alexandria database).

abc: 6.765 6.765 6.765
angles: 90.00 90.00 90.00
Space group F-43m (No. 216)
Inequivalent atoms, fractional coordinates:
Dy: 0.000 0.000 0.000
Er: 0.000 0.000 0.500
Ir: 0.250 0.250 0.250

Results
Energy above the lowest structure with this stoichiometry   7 meV per atom
ΔH_f (0 K)   -722 meV/atom
Size of the total moment   0.000 μB/f.u.
Raw total energy   -6.730 eV per atom

***

Record 4
# LiScTiRe

A geometry-optimized LiScTiRe structure (PBE, the Alexandria database).

abc: 6.388 6.388 6.388
angles: 90.00 90.00 90.00
Space group F-43m (No. 216)
Inequivalent atoms, fractional coordinates:
Li: 0.000 0.000 0.000
Sc: 0.250 0.250 0.250
Ti: 0.250 0.250 0.750
Re: 0.000 0.000 0.500

Results
ΔH_f (0 K)   -65 meV/atom
Size of the total moment   0.000 μB/f.u.
Raw total energy   -7.212 eV per atom

***

Record 5
# K5HgSeO2

A geometry-optimized K5HgSeO2 structure (PBE, the Alexandria database).

abc: 5.393 5.393 9.493
angles: 90.00 90.00 90.00
Space group P4/mmm (No. 123)
Inequivalent atoms, fractional coordinates:
K: 0.000 0.000 0.000
K: 0.000 0.500 0.245
Hg: 0.000 0.000 0.500
Se: 0.500 0.500 0.000
O: 0.000 0.000 0.280

Results
Size of the total moment   0.679 μB/f.u.
Raw total energy   -3.094 eV per atom

***

Record 6
# ScHgF3

A geometry-optimized ScHgF3 structure (PBE, the Alexandria database).

abc: 4.256 4.256 4.256
angles: 90.00 90.00 90.00
Space group Pm-3m (No. 221)
Inequivalent atoms, fractional coordinates:
Sc: 0.000 0.000 0.000
Hg: 0.500 0.500 0.500
F: 0.000 0.000 0.500

Results
Energy above the lowest structure with this stoichiometry   0 meV per atom
Size of the total moment   0.000 μB/f.u.
Raw total energy   -5.330 eV per atom

***

Q: The highest size of the total moment belongs to which entry?
A: K5HgSeO2

***

What did the second record say?
# Pr8Ir3CCl4

A geometry-optimized Pr8Ir3CCl4 structure (PBE, the Alexandria database).

abc: 8.2067 8.2067 22.5276
angles: 90.00 90.00 120.00
Space group R-3m (No. 166, hexagonal axes)
Inequivalent atoms, fractional coordinates:
Pr: 0.0000 0.0000 0.2368
Pr: 0.0164 0.5082 0.2318
Ir: 0.0000 0.5000 0.5000
C: 0.0000 0.0000 0.5000
Cl: 0.0000 0.0000 0.0000
Cl: 0.0000 0.5000 0.0000

Results
Size of the total moment   0.000 μB/f.u.
Raw total energy   -6.162 eV per atom